Below is crystalline Sr6Hg2N at its relaxed geometry, with properties calculated at the GGA-PBE level.

a = 7.5244 Å, b = 8.1599 Å, c = 12.8519 Å
α = 90.00°, β = 123.70°, γ = 90.00°
With the nearest neighbours (Å) after each atom.
Space group P2_1/c (No. 14)
Symmetry-distinct sites (fractional):
Sr  0.1314  0.0231  0.2337 [4 per cell]  1 N 2.60
Sr  0.2119  0.7184  0.0492 [4 per cell]  1 N 2.67
Sr  0.3380  0.1709  0.0477 [4 per cell]  1 N 2.66
Hg  0.2816  0.0870  0.7487 [4 per cell]  8 Sr 3.34-3.72
N  0.0000  0.0000  0.0000 [2 per cell]  6 Sr 2.60-2.67

Calculated values
Energy above the lowest structure with this stoichiometry in eV per atom: 0.0000
Raw total energy in eV/atom: -2.547
DOS(E_F) in states/eV/cell: 15.00
Energy relative to the elements, uncorrected in eV/atom: -0.433
M_tot in Bohr magnetons per cell: 0.0

Below is crystalline Sr2HgN at its relaxed geometry, with properties calculated at the GGA-PBE level.

a = 7.4127 Å, b = 7.4127 Å, c = 7.4127 Å
α = 90.00°, β = 90.00°, γ = 90.00°
With the nearest neighbours (Å) after each atom.
Space group Fm-3m (No. 225)
Symmetry-distinct sites (fractional):
Sr  0.2500  0.2500  0.2500 [8 per cell]  4 N 3.21, 4 Hg 3.21
Hg  0.0000  0.0000  0.0000 [4 per cell]  8 Sr 3.21
N  0.0000  0.0000  0.5000 [4 per cell]  8 Sr 3.21

Calculated values
Energy above the lowest structure with this stoichiometry in eV per atom: 0.6531
Raw total energy in eV/atom: -2.872
DOS(E_F) in states/eV/cell: 6.69
Energy relative to the elements, uncorrected in eV/atom: 0.125
M_tot in Bohr magnetons per cell: 0.0

Below is crystalline Sr8HgN4 at its relaxed geometry, with properties calculated at the GGA-PBE level.

a = 19.1180 Å, b = 3.8695 Å, c = 13.4551 Å
α = 90.00°, β = 134.45°, γ = 90.00°
With the nearest neighbours (Å) after each atom.
Space group Cm (No. 8)
Symmetry-distinct sites (fractional):
Sr  0.0000  0.0000  0.0000 [2 per cell]  3 N 2.59-2.70
Sr  0.0055  0.0000  0.2688 [2 per cell]  3 N 2.62-2.66
Sr  0.1163  0.5000  0.9042 [2 per cell]  3 N 2.59-2.71
Sr  0.2033  0.5000  0.3287 [2 per cell]  3 N 2.59-2.71
Sr  0.3141  0.0000  0.9639 [2 per cell]  3 N 2.62-2.66
Sr  0.3197  0.0000  0.2329 [2 per cell]  3 N 2.59-2.70
Sr  0.3567  0.0000  0.6627 [2 per cell]  3 N 2.61-2.67
Sr  0.4629  0.5000  0.5702 [2 per cell]  3 N 2.62-2.67
Hg  0.1592  0.5000  0.6154 [2 per cell]  8 Sr 3.86-3.88, 2 Hg 3.87
N  0.0046  0.5000  0.1320 [2 per cell]  6 Sr 2.59-2.71
N  0.3149  0.5000  0.1007 [2 per cell]  6 Sr 2.59-2.71
N  0.3285  0.0000  0.4424 [2 per cell]  6 Sr 2.59-2.70
N  0.4911  0.5000  0.7905 [2 per cell]  6 Sr 2.59-2.70

Calculated values
Energy above the lowest structure with this stoichiometry in eV per atom: 0.0000
Raw total energy in eV/atom: -4.109
DOS(E_F) in states/eV/cell: 8.30
Energy relative to the elements, uncorrected in eV/atom: -0.489
M_tot in Bohr magnetons per cell: 1.3

Below is crystalline Sr2HgN at its relaxed geometry, with properties calculated at the GGA-PBE level.

a = 7.5931 Å, b = 7.5931 Å, c = 8.4795 Å
α = 90.00°, β = 90.00°, γ = 90.00°
With the nearest neighbours (Å) after each atom.
Space group I-42d (No. 122)
Symmetry-distinct sites (fractional):
Sr  0.1476  0.2500  0.1250 [8 per cell]  2 N 2.45
Hg  0.0000  0.0000  0.5000 [4 per cell]  4 Sr 3.45
N  0.0000  0.0000  0.0000 [4 per cell]  4 Sr 2.45

Calculated values
Energy above the lowest structure with this stoichiometry in eV per atom: 0.1659
Raw total energy in eV/atom: -3.360
DOS(E_F) in states/eV/cell: 11.12
Energy relative to the elements, uncorrected in eV/atom: -0.362
M_tot in Bohr magnetons per cell: 0.0

Below is crystalline Sr6HgN at its relaxed geometry, with properties calculated at the GGA-PBE level.

a = 7.7565 Å, b = 12.1534 Å, c = 7.1287 Å
α = 90.00°, β = 104.14°, γ = 90.00°
With the nearest neighbours (Å) after each atom.
Space group C2/m (No. 12)
Symmetry-distinct sites (fractional):
Sr  0.1674  0.1534  0.2420 [8 per cell]  1 N 2.65
Sr  0.2406  0.5000  0.1796 [4 per cell]  1 N 2.64
Hg  0.0000  0.5000  0.5000 [2 per cell]  6 Sr 3.28-3.35
N  0.0000  0.0000  0.0000 [2 per cell]  6 Sr 2.64-2.65

Calculated values
Raw total energy in eV/atom: -2.630
DOS(E_F) in states/eV/cell: 11.60
Energy relative to the elements, uncorrected in eV/atom: -0.290
M_tot in Bohr magnetons per cell: 0.0

Below is crystalline Sr4Hg2N at its relaxed geometry, with properties calculated at the GGA-PBE level.

a = 5.0641 Å, b = 5.0641 Å, c = 18.7026 Å
α = 90.00°, β = 90.00°, γ = 90.00°
With the nearest neighbours (Å) after each atom.
Space group I4/mmm (No. 139)
Symmetry-distinct sites (fractional):
Sr  0.0000  0.0000  0.1878 [4 per cell]  1 Hg 3.30
Sr  0.0000  0.5000  0.0000 [4 per cell]  2 N 2.53
Hg  0.0000  0.0000  0.3640 [4 per cell]  1 N 2.54
N  0.0000  0.0000  0.5000 [2 per cell]  4 Sr 2.53, 2 Hg 2.54

Calculated values
Energy above the lowest structure with this stoichiometry in eV per atom: 0.1483
Raw total energy in eV/atom: -2.543
DOS(E_F) in states/eV/cell: 10.65
Energy relative to the elements, uncorrected in eV/atom: -0.306
M_tot in Bohr magnetons per cell: 0.0